Below is a relaxed structure of KRb3Cu2As2, with properties calculated at the GGA-PBE level.

```
data_KRb3Cu2As2
_cell_length_a 6.4712
_cell_length_b 6.1940
_cell_length_c 6.5127
_cell_angle_alpha 90.00
_cell_angle_beta 108.02
_cell_angle_gamma 90.00
_space_group_name_H-M_alt 'P 1'
_space_group_IT_number 1
_space_group_name_Hall 'P 1'
loop_
_atom_site_label
_atom_site_type_symbol
_atom_site_fract_x
_atom_site_fract_y
_atom_site_fract_z
As1 As 0.2743 0.0000 0.2633
As2 As 0.7311 0.5000 0.7362
Cu1 Cu 0.4998 0.2493 0.5033
Cu2 Cu 0.4998 0.7507 0.5033
K1 K 0.6746 0.0000 0.0082
Rb1 Rb 0.9832 0.5000 0.3210
Rb2 Rb 0.0142 0.0000 0.6777
Rb3 Rb 0.3229 0.5000 0.9870
```

Output
Its total DFT energy (no corrections) is -2.9100 eV/atom.